Mg2Br | PBE | relaxed

The total energy comes out at -2.100 eV per atom. As for the energy above the lowest structure with this stoichiometry: 0.036 eV per atom. As for the uncorrected formation energy: -1.4 eV/f.u. As for the density of states at the Fermi level: 0.248 states/eV per atom.

Structure (CIF):
```
data_Mg2Br
_chemical_formula_sum 'Mg4 Br2'
_cell_length_a 5.461
_cell_length_b 3.564
_cell_length_c 9.503
_cell_angle_alpha 90.00
_cell_angle_beta 101.35
_cell_angle_gamma 90.00
_symmetry_space_group_name_H-M 'P 1'
_symmetry_Int_Tables_number 1
loop_
_symmetry_equiv_pos_as_xyz
'x,y,z'
loop_
_atom_site_label
_atom_site_type_symbol
_atom_site_fract_x
_atom_site_fract_y
_atom_site_fract_z
Mg1 Mg 0.530 0.250 0.375
Mg2 Mg 0.470 0.750 0.625
Mg3 Mg 0.960 0.250 0.640
Mg4 Mg 0.040 0.750 0.360
Br1 Br 0.808 0.250 0.165
Br2 Br 0.192 0.750 0.835
```